The following is a DFT calculation (PBE+U) of crystalline VTe2IO at its relaxed geometry.

Lattice parameters (Å, degrees): 5.1095 5.1095 5.3182 90.00 90.00 90.00
Last column: nearest neighbours and their distance in Å.
Fractional positions:
O1 0.5000 0.5000 0.5000  4 I 3.61, 8 Te 3.69
I1 0.0000 0.0000 0.5000  2 V 2.66
V1 0.0000 0.0000 0.0000  4 Te 2.55, 2 I 2.66
Te1 0.5000 0.0000 0.0000  2 V 2.55
Te2 0.0000 0.5000 0.0000  2 V 2.55

Results
The calculation puts the magnetization at 0.0001 μB/atom. The value obtained for the energy above the most stable polymorph in this dataset is 762 meV per atom. The value obtained for the total energy is -3.03 eV per atom.